No. 1
First-principles (PBE-GGA) data for SrPuGe3 after structural relaxation, as listed in Alexandria via LeMat-Bulk.

Results
ΔE_f in eV per formula unit: -2.14
DOS(E_F) in states/eV per cell: 44.38
Theoretical density in Mg/m³: 7.25
Total moment in μB/f.u.: 5.64
DFT total energy in eV per cell: -128.0
Crystal system: orthorhombic

Lattice parameters (Å, degrees): 4.472 27.318 4.123 90.00 90.00 90.00
Space group Cmcm (No. 63)
Inequivalent atoms, fractional coordinates:
Sr (0.000, 0.076, 0.250)
Pu (0.000, 0.204, 0.750)
Ge (0.000, 0.314, 0.750)
Ge (0.000, 0.372, 0.250)
Ge (0.000, 0.473, 0.250)

No. 2
First-principles (PBE-GGA) data for SbPt2Br after structural relaxation, as listed in Alexandria via LeMat-Bulk.

Results
DOS(E_F) in states/eV per cell: 13.58
Theoretical density in Mg/m³: 12.32
Total moment in μB/f.u.: 0.00
E_form (uncorrected) in eV per atom: 0.47
DFT total energy in eV per cell: -64.0
Crystal system: cubic

Lattice parameters (Å, degrees): 6.833 6.833 6.833 90.00 90.00 90.00
Space group F-43m (No. 216)
Inequivalent atoms, fractional coordinates:
Sb (0.000, 0.000, 0.000)
Pt (0.000, 0.000, 0.500)
Pt (0.250, 0.250, 0.250)
Br (0.250, 0.250, 0.750)

No. 3
First-principles (PBE-GGA) data for AcEuTmHg after structural relaxation, as listed in Alexandria via LeMat-Bulk.

Results
ΔE_f in eV per formula unit: 0.23
DOS(E_F) in states/eV per cell: 26.42
Theoretical density in Mg/m³: 9.63
Total moment in μB/f.u.: 7.69
DFT total energy in eV per cell: -75.7
Crystal system: cubic

Lattice parameters (Å, degrees): 8.023 8.023 8.023 90.00 90.00 90.00
Space group F-43m (No. 216)
Inequivalent atoms, fractional coordinates:
Ac (0.000, 0.000, 0.000)
Eu (0.250, 0.250, 0.250)
Tm (0.250, 0.250, 0.750)
Hg (0.000, 0.000, 0.500)

No. 4
First-principles (PBE-GGA) data for ZnSe2Cl after structural relaxation, as listed in Alexandria via LeMat-Bulk.

Results
DOS(E_F) in states/eV per cell: 1.70
Theoretical density in Mg/m³: 4.60
Total moment in μB/f.u.: 0.00
E_form (uncorrected) in eV per atom: -0.38
DFT total energy in eV per cell: -11.6
Crystal system: monoclinic

Lattice parameters (Å, degrees): 5.035 3.786 5.050 90.00 103.98 90.00
Space group P2/m (No. 10)
Inequivalent atoms, fractional coordinates:
Zn (0.000, 0.000, 0.000)
Se (0.157, 0.500, 0.367)
Cl (0.500, 0.000, 0.000)

No. 5
First-principles (PBE-GGA) data for Nd13Tl2 after structural relaxation, as listed in Alexandria via LeMat-Bulk.

Results
ΔE_f in eV per formula unit: -1.05
DOS(E_F) in states/eV per cell: 20.87
Theoretical density in Mg/m³: 7.44
Total moment in μB/f.u.: 0.00
DFT total energy in eV per cell: -67.8
Crystal system: triclinic

Lattice parameters (Å, degrees): 7.064 8.772 9.181 66.45 78.19 83.02
Space group P-1 (No. 2)
Inequivalent atoms, fractional coordinates:
Nd (0.000, 0.000, 0.000)
Nd (0.123, 0.475, 0.735)
Nd (0.198, 0.232, 0.152)
Nd (0.265, 0.935, 0.589)
Nd (0.311, 0.655, 0.970)
Nd (0.364, 0.413, 0.390)
Nd (0.496, 0.139, 0.796)
Tl (0.057, 0.776, 0.384)

No. 6
First-principles (PBE-GGA) data for Tb6Pr6Sm after structural relaxation, as listed in Alexandria via LeMat-Bulk.

Results
ΔE_f in eV per formula unit: 3.31
DOS(E_F) in states/eV per cell: 26.57
Theoretical density in Mg/m³: 7.07
Total moment in μB/f.u.: 0.00
DFT total energy in eV per cell: -57.9
Crystal system: hexagonal

Lattice parameters (Å, degrees): 6.7704 6.7704 11.5395 90.00 90.00 120.00
Space group P6/mmm (No. 191)
Inequivalent atoms, fractional coordinates:
Tb (0.0000, 0.5000, 0.2486)
Pr (0.0000, 0.0000, 0.3474)
Pr (0.3333, 0.6667, 0.0000)
Pr (0.3333, 0.6667, 0.5000)
Sm (0.0000, 0.0000, 0.0000)

No. 7
First-principles (PBE-GGA) data for Fe2Pd7Pt3 after structural relaxation, as listed in Alexandria via LeMat-Bulk.

Results
ΔE_f in eV per formula unit: 0.38
DOS(E_F) in states/eV per cell: 14.28
Theoretical density in Mg/m³: 12.90
Total moment in μB/f.u.: 9.29
DFT total energy in eV per cell: -71.0
Crystal system: monoclinic

Lattice parameters (Å, degrees): 4.548 2.748 14.860 90.00 92.68 90.00
Space group P2/m (No. 10)
Inequivalent atoms, fractional coordinates:
Fe (0.215, 0.000, 0.297)
Pd (0.189, 0.500, 0.152)
Pd (0.244, 0.000, 0.459)
Pd (0.305, 0.000, 0.807)
Pd (0.500, 0.500, 0.000)
Pt (0.000, 0.000, 0.000)
Pt (0.273, 0.500, 0.637)

No. 8
First-principles (PBE-GGA) data for Pm4Pr3Tm4 after structural relaxation, as listed in Alexandria via LeMat-Bulk.

Results
ΔE_f in eV per formula unit: 1.69
DOS(E_F) in states/eV per cell: 33.37
Theoretical density in Mg/m³: 7.45
Total moment in μB/f.u.: 0.00
DFT total energy in eV per cell: -99.1
Crystal system: orthorhombic

Lattice parameters (Å, degrees): 10.772 5.746 12.084 90.00 90.00 90.00
Space group Amm2 (No. 38)
Inequivalent atoms, fractional coordinates:
Pm (0.000, 0.000, 0.000)
Pm (0.214, 0.000, 0.792)
Pm (0.500, 0.000, 0.926)
Pr (0.000, 0.000, 0.294)
Pr (0.289, 0.000, 0.453)
Tm (0.000, 0.000, 0.598)
Tm (0.304, 0.000, 0.147)
Tm (0.500, 0.000, 0.653)

No. 9
First-principles (PBE-GGA) data for Sm3BPt2Rh3 after structural relaxation, as listed in Alexandria via LeMat-Bulk.

Results
ΔE_f in eV per formula unit: -7.26
DOS(E_F) in states/eV per cell: 2.96
Theoretical density in Mg/m³: 11.55
Total moment in μB/f.u.: 0.00
DFT total energy in eV per cell: -62.2
Crystal system: hexagonal

Lattice parameters (Å, degrees): 7.3887 7.3887 3.5287 90.00 90.00 120.00
Space group P-62m (No. 189)
Inequivalent atoms, fractional coordinates:
Sm (0.0000, 0.3809, 0.0000)
B (0.0000, 0.0000, 0.0000)
Pt (0.3333, 0.6667, 0.5000)
Rh (0.0000, 0.7873, 0.5000)

No. 10
First-principles (PBE-GGA) data for ZrAl2W after structural relaxation, as listed in Alexandria via LeMat-Bulk.

Results
ΔE_f in eV per formula unit: -0.29
DOS(E_F) in states/eV per cell: 3.97
Theoretical density in Mg/m³: 7.96
Total moment in μB/f.u.: 0.00
DFT total energy in eV per cell: -58.6
Crystal system: monoclinic

Lattice parameters (Å, degrees): 10.038 2.811 4.976 90.00 102.16 90.00
Space group Cm (No. 8)
Inequivalent atoms, fractional coordinates:
Zr (0.000, 0.000, 0.000)
Al (0.254, 0.500, 0.206)
Al (0.476, 0.000, 0.497)
W (0.219, 0.000, 0.677)

No. 11
First-principles (PBE-GGA) data for Cs2GaAu2 after structural relaxation, as listed in Alexandria via LeMat-Bulk.

Results
ΔE_f in eV per formula unit: 1.17
DOS(E_F) in states/eV per cell: 5.87
Theoretical density in Mg/m³: 5.32
Total moment in μB/f.u.: 0.93
DFT total energy in eV per cell: -20.2
Crystal system: tetragonal

Lattice parameters (Å, degrees): 5.675 5.675 14.142 90.00 90.00 90.00
Space group I4/mmm (No. 139)
Inequivalent atoms, fractional coordinates:
Cs (0.000, 0.500, 0.250)
Ga (0.000, 0.000, 0.000)
Au (0.000, 0.000, 0.401)

No. 12
First-principles (PBE-GGA) data for LiZnNiIr after structural relaxation, as listed in Alexandria via LeMat-Bulk.

Results
ΔE_f in eV per formula unit: -0.47
DOS(E_F) in states/eV per cell: 22.60
Theoretical density in Mg/m³: 10.32
Total moment in μB/f.u.: 1.03
DFT total energy in eV per cell: -73.2
Crystal system: cubic

Lattice parameters (Å, degrees): 5.926 5.926 5.926 90.00 90.00 90.00
Space group F-43m (No. 216)
Inequivalent atoms, fractional coordinates:
Li (0.000, 0.000, 0.000)
Zn (0.250, 0.250, 0.250)
Ni (0.250, 0.250, 0.750)
Ir (0.000, 0.000, 0.500)

No. 13
First-principles (PBE-GGA) data for NaAc2PbSe4 after structural relaxation, as listed in Alexandria via LeMat-Bulk.

Results
DOS(E_F) in states/eV per cell: 15.64
Theoretical density in Mg/m³: 6.62
Total moment in μB/f.u.: 0.00
E_form (uncorrected) in eV per atom: -1.43
DFT total energy in eV per cell: -154.4
Crystal system: orthorhombic

Lattice parameters (Å, degrees): 8.815 9.073 12.538 90.00 90.00 90.00
Space group Imma (No. 74)
Inequivalent atoms, fractional coordinates:
Na (0.250, 0.250, 0.250)
Ac (0.000, 0.000, 0.000)
Ac (0.250, 0.250, 0.750)
Pb (0.000, 0.000, 0.500)
Se (0.000, 0.003, 0.751)
Se (0.249, 0.250, 0.002)

No. 14
First-principles (PBE-GGA) data for DyTmB12 after structural relaxation, as listed in Alexandria via LeMat-Bulk.

Results
ΔE_f in eV per formula unit: -5.23
DOS(E_F) in states/eV per cell: 1.56
Theoretical density in Mg/m³: 5.60
Total moment in μB/f.u.: 0.00
DFT total energy in eV per cell: -94.4
Crystal system: tetragonal

Lattice parameters (Å, degrees): 4.087 4.087 8.180 90.00 90.00 90.00
Space group P4/mmm (No. 123)
Inequivalent atoms, fractional coordinates:
Dy (0.000, 0.000, 0.000)
Tm (0.000, 0.000, 0.500)
B (0.199, 0.500, 0.251)
B (0.500, 0.500, 0.100)
B (0.500, 0.500, 0.401)

No. 15
First-principles (PBE-GGA) data for SrTlS2N after structural relaxation, as listed in Alexandria via LeMat-Bulk.

Results
DOS(E_F) in states/eV per cell: 9.18
Theoretical density in Mg/m³: 3.78
Total moment in μB/f.u.: 2.43
E_form (uncorrected) in eV per atom: 0.50
DFT total energy in eV per cell: -18.1
Crystal system: tetragonal

Lattice parameters (Å, degrees): 5.660 5.660 5.069 90.00 90.00 90.00
Space group P4/mmm (No. 123)
Inequivalent atoms, fractional coordinates:
Sr (0.000, 0.000, 0.000)
Tl (0.500, 0.500, 0.500)
S (0.000, 0.500, 0.000)
N (0.000, 0.000, 0.500)

No. 16
First-principles (PBE-GGA) data for Al3ZnRe after structural relaxation, as listed in Alexandria via LeMat-Bulk.

Results
ΔE_f in eV per formula unit: 2.29
DOS(E_F) in states/eV per cell: 4.69
Theoretical density in Mg/m³: 4.97
Total moment in μB/f.u.: 0.00
DFT total energy in eV per cell: -22.7
Crystal system: cubic

Lattice parameters (Å, degrees): 4.807 4.807 4.807 90.00 90.00 90.00
Space group Pm-3m (No. 221)
Inequivalent atoms, fractional coordinates:
Al (0.000, 0.000, 0.500)
Zn (0.500, 0.500, 0.500)
Re (0.000, 0.000, 0.000)

No. 17
First-principles (PBE-GGA) data for TaCd2Cl after structural relaxation, as listed in Alexandria via LeMat-Bulk.

Results
DOS(E_F) in states/eV per cell: 7.56
Theoretical density in Mg/m³: 8.77
Total moment in μB/f.u.: 1.29
E_form (uncorrected) in eV per atom: 0.62
DFT total energy in eV per cell: -26.1
Crystal system: tetragonal

Lattice parameters (Å, degrees): 4.232 4.232 9.332 90.00 90.00 90.00
Space group I-4m2 (No. 119)
Inequivalent atoms, fractional coordinates:
Ta (0.000, 0.000, 0.000)
Cd (0.000, 0.000, 0.500)
Cd (0.000, 0.500, 0.750)
Cl (0.000, 0.500, 0.250)

No. 18
First-principles (PBE-GGA) data for AgP2S2 after structural relaxation, as listed in Alexandria via LeMat-Bulk.

Results
DOS(E_F) in states/eV per cell: 5.41
Theoretical density in Mg/m³: 3.53
Total moment in μB/f.u.: 0.45
E_form (uncorrected) in eV per atom: 1.41
DFT total energy in eV per cell: -14.9
Crystal system: tetragonal

Lattice parameters (Å, degrees): 4.825 4.825 4.730 90.00 90.00 90.00
Space group P4/mmm (No. 123)
Inequivalent atoms, fractional coordinates:
Ag (0.000, 0.000, 0.000)
P (0.000, 0.500, 0.000)
S (0.000, 0.000, 0.500)
S (0.500, 0.500, 0.500)

No. 19
First-principles (PBE-GGA) data for Nd2AgS after structural relaxation, as listed in Alexandria via LeMat-Bulk.

Results
DOS(E_F) in states/eV per cell: 9.41
Theoretical density in Mg/m³: 6.68
Total moment in μB/f.u.: 0.00
E_form (uncorrected) in eV per atom: -1.02
DFT total energy in eV per cell: -61.8
Crystal system: trigonal

Lattice parameters (Å, degrees): 4.0408 4.0408 22.5938 90.00 90.00 120.00
Space group R3m (No. 160, hexagonal axes)
Inequivalent atoms, fractional coordinates:
Nd (0.0000, 0.0000, 0.0000)
Nd (0.0000, 0.0000, 0.1876)
Ag (0.0000, 0.0000, 0.4270)
S (0.0000, 0.0000, 0.5952)

No. 20
First-principles (PBE-GGA) data for DyPuZnNi after structural relaxation, as listed in Alexandria via LeMat-Bulk.

Results
ΔE_f in eV per formula unit: -0.55
DOS(E_F) in states/eV per cell: 37.05
Theoretical density in Mg/m³: 10.50
Total moment in μB/f.u.: 5.42
DFT total energy in eV per cell: -106.2
Crystal system: cubic

Lattice parameters (Å, degrees): 6.951 6.951 6.951 90.00 90.00 90.00
Space group F-43m (No. 216)
Inequivalent atoms, fractional coordinates:
Dy (0.000, 0.000, 0.000)
Pu (0.000, 0.000, 0.500)
Zn (0.250, 0.250, 0.750)
Ni (0.250, 0.250, 0.250)